First-principles (PBE) data for a geometry-optimized K8Cl2O3 structure, as listed in Alexandria via LeMat-Bulk.

Calculated values
size of the total moment: 0.3 μB/f.u.
calculated volume: 408.52 Å³/cell
formation energy (no corrections): -1308 meV/atom

Cell lengths 8.6099, 8.6099, 6.9647 Å; angles 107.51, 107.51, 57.39 degrees
Element x y z (fractional)
K (0.0904, 0.0904, 0.4040)
K (0.1133, 0.6861, 0.1146)
K (0.3139, 0.8867, 0.8854)
K (0.3982, 0.3982, 0.5419)
K (0.6018, 0.6018, 0.4581)
K (0.6861, 0.1133, 0.1146)
K (0.8867, 0.3139, 0.8854)
K (0.9096, 0.9096, 0.5960)
Cl (0.2773, 0.2773, 0.8420)
Cl (0.7227, 0.7227, 0.1580)
O (0.0000, 0.0000, 0.0000)
O (0.2587, 0.7413, 0.5000)
O (0.7413, 0.2587, 0.5000)

---

First-principles (PBE) data for a geometry-optimized K4ClO2 structure, as listed in Alexandria via LeMat-Bulk.

Calculated values
size of the total moment: 1.0 μB/f.u.
calculated volume: 201.81 Å³/cell
formation energy (no corrections): -1221 meV/atom

Cell lengths 8.2381, 8.2381, 6.5134 Å; angles 110.22, 110.22, 29.26 degrees
Element x y z (fractional)
K (0.1494, 0.1494, 0.4840)
K (0.3405, 0.3405, 0.9721)
K (0.6595, 0.6595, 0.0279)
K (0.8506, 0.8506, 0.5160)
Cl (0.0000, 0.0000, 0.0000)
O (0.2682, 0.2682, 0.2759)
O (0.7318, 0.7318, 0.7241)

---

First-principles (PBE) data for a geometry-optimized K3ClO structure, as listed in Alexandria via LeMat-Bulk.

Calculated values
size of the total moment: 0.0 μB/f.u.
calculated volume: 559.27 Å³/cell
formation energy (no corrections): -1399 meV/atom

Cell lengths 7.4214, 10.3419, 7.2868 Å; angles 90.00, 90.00, 90.00 degrees
Element x y z (fractional)
K (0.0259, 0.2500, 0.0751)
K (0.2104, 0.0398, 0.7096)
K (0.2104, 0.4602, 0.7096)
K (0.2896, 0.5398, 0.2096)
K (0.2896, 0.9602, 0.2096)
K (0.4741, 0.7500, 0.5751)
K (0.5259, 0.2500, 0.4249)
K (0.7104, 0.0398, 0.7904)
K (0.7104, 0.4602, 0.7904)
K (0.7896, 0.5398, 0.2904)
K (0.7896, 0.9602, 0.2904)
K (0.9741, 0.7500, 0.9249)
Cl (0.0434, 0.7500, 0.4896)
Cl (0.4566, 0.2500, 0.9896)
Cl (0.5434, 0.7500, 0.0104)
Cl (0.9566, 0.2500, 0.5104)
O (0.0000, 0.0000, 0.0000)
O (0.0000, 0.5000, 0.0000)
O (0.5000, 0.0000, 0.5000)
O (0.5000, 0.5000, 0.5000)

---

First-principles (PBE) data for a geometry-optimized K3ClO structure, as listed in Alexandria via LeMat-Bulk.

Calculated values
size of the total moment: 0.0 μB/f.u.
calculated volume: 298.89 Å³/cell
formation energy (no corrections): -1357 meV/atom

Cell lengths 5.2219, 7.7463, 7.8074 Å; angles 90.00, 108.84, 90.00 degrees
Element x y z (fractional)
K (0.0079, 0.2500, 0.0232)
K (0.3793, 0.0174, 0.7523)
K (0.3793, 0.4826, 0.7523)
K (0.6207, 0.5174, 0.2477)
K (0.6207, 0.9826, 0.2477)
K (0.9921, 0.7500, 0.9768)
Cl (0.1942, 0.7500, 0.3975)
Cl (0.8058, 0.2500, 0.6025)
O (0.4903, 0.7500, 0.9714)
O (0.5097, 0.2500, 0.0286)

---

First-principles (PBE) data for a geometry-optimized KClO structure, as listed in Alexandria via LeMat-Bulk.

Calculated values
size of the total moment: 1.0 μB/f.u.
calculated volume: 166.36 Å³/cell
formation energy (no corrections): -1208 meV/atom

Cell lengths 4.8304, 4.8304, 8.0630 Å; angles 90.39, 90.39, 62.17 degrees
Element x y z (fractional)
K (0.0000, 0.0000, 0.0000)
K (0.6584, 0.6584, 0.5747)
Cl (0.3346, 0.3346, 0.8195)
Cl (0.9925, 0.9925, 0.3995)
O (0.5558, 0.5558, 0.2087)
O (0.6775, 0.6775, 0.1183)

---

First-principles (PBE) data for a geometry-optimized K8Cl5O structure, as listed in Alexandria via LeMat-Bulk.

Calculated values
size of the total moment: 0.0 μB/f.u.
calculated volume: 539.93 Å³/cell
formation energy (no corrections): -1522 meV/atom

Cell lengths 9.1401, 9.1401, 9.1401 Å; angles 60.00, 60.00, 60.00 degrees
Element x y z (fractional)
K (0.3478, 0.8841, 0.8841)
K (0.3871, 0.3871, 0.3871)
K (0.3871, 0.3871, 0.8386)
K (0.3871, 0.8386, 0.3871)
K (0.8386, 0.3871, 0.3871)
K (0.8841, 0.3478, 0.8841)
K (0.8841, 0.8841, 0.3478)
K (0.8841, 0.8841, 0.8841)
Cl (0.1244, 0.1244, 0.1244)
Cl (0.1244, 0.1244, 0.6269)
Cl (0.1244, 0.6269, 0.1244)
Cl (0.6269, 0.1244, 0.1244)
Cl (0.7500, 0.7500, 0.7500)
O (0.5000, 0.5000, 0.5000)

---

First-principles (PBE) data for a geometry-optimized K8Cl3O2 structure, as listed in Alexandria via LeMat-Bulk.

Calculated values
size of the total moment: 0.7 μB/f.u.
calculated volume: 472.30 Å³/cell
formation energy (no corrections): -1323 meV/atom

Cell lengths 8.7961, 8.7961, 7.6483 Å; angles 106.02, 106.02, 57.22 degrees
Element x y z (fractional)
K (0.0844, 0.6158, 0.1943)
K (0.1363, 0.1363, 0.2164)
K (0.3558, 0.3558, 0.8206)
K (0.3842, 0.9156, 0.8057)
K (0.6158, 0.0844, 0.1943)
K (0.6442, 0.6442, 0.1794)
K (0.8637, 0.8637, 0.7836)
K (0.9156, 0.3842, 0.8057)
Cl (0.0000, 0.0000, 0.5000)
Cl (0.2549, 0.7451, 0.0000)
Cl (0.7451, 0.2549, 0.0000)
O (0.2512, 0.2512, 0.0204)
O (0.7488, 0.7488, 0.9796)

---

First-principles (PBE) data for a geometry-optimized K2OsCl4O2 structure, as listed in Alexandria via LeMat-Bulk.

Calculated values
size of the total moment: 0.0 μB/f.u.
calculated volume: 228.55 Å³/cell
formation energy (no corrections): -1277 meV/atom
ΔE to the lowest computed polymorph: 0.0 meV/atom

Cell lengths 6.7411, 6.7411, 6.7411 Å; angles 115.67, 115.67, 97.67 degrees
Element x y z (fractional)
K (0.2500, 0.7500, 0.5000)
K (0.7500, 0.2500, 0.5000)
Os (0.0000, 0.0000, 0.0000)
Cl (0.2382, 0.2382, 0.4763)
Cl (0.2382, 0.7618, 0.0000)
Cl (0.7618, 0.2382, 0.0000)
Cl (0.7618, 0.7618, 0.5237)
O (0.1980, 0.1980, 0.0000)
O (0.8020, 0.8020, 0.0000)

---

> Which value of calculated volume does entry 5 give?

166.36 Å³/cell

---

> What is the formation energy (no corrections) in the third record?

-1399 meV/atom

---

Please write out number 3 again, unchanged.
First-principles (PBE) data for a geometry-optimized K3ClO structure, as listed in Alexandria via LeMat-Bulk.

Calculated values
size of the total moment: 0.0 μB/f.u.
calculated volume: 559.27 Å³/cell
formation energy (no corrections): -1399 meV/atom

Cell lengths 7.4214, 10.3419, 7.2868 Å; angles 90.00, 90.00, 90.00 degrees
Element x y z (fractional)
K (0.0259, 0.2500, 0.0751)
K (0.2104, 0.0398, 0.7096)
K (0.2104, 0.4602, 0.7096)
K (0.2896, 0.5398, 0.2096)
K (0.2896, 0.9602, 0.2096)
K (0.4741, 0.7500, 0.5751)
K (0.5259, 0.2500, 0.4249)
K (0.7104, 0.0398, 0.7904)
K (0.7104, 0.4602, 0.7904)
K (0.7896, 0.5398, 0.2904)
K (0.7896, 0.9602, 0.2904)
K (0.9741, 0.7500, 0.9249)
Cl (0.0434, 0.7500, 0.4896)
Cl (0.4566, 0.2500, 0.9896)
Cl (0.5434, 0.7500, 0.0104)
Cl (0.9566, 0.2500, 0.5104)
O (0.0000, 0.0000, 0.0000)
O (0.0000, 0.5000, 0.0000)
O (0.5000, 0.0000, 0.5000)
O (0.5000, 0.5000, 0.5000)